FeGeS2 | PBE-GGA | optimized geometry

Total magnetization   0.426 μB per atom
Symmetry   I-42d
Calculated total energy   -5.42 eV/atom
ΔE_f (raw)   -0.09 eV/atom

Cell and atoms, written as POSCAR:
```
FeGeS2
1.0
5.484 0.000 0.000
0.000 5.484 0.000
2.742 2.742 5.241
S Fe Ge
4 2 2
Cartesian
6.854 6.567 3.931
4.113 4.400 3.931
1.658 4.113 1.310
3.825 1.371 1.310
2.742 5.484 2.621
2.742 2.742 0.000
0.000 0.000 0.000
5.484 2.742 2.621
```